A relaxed Mg6Tl8Cd crystal, computed with PBE.

abc: 8.054 8.054 8.054
angles: 65.14 65.14 65.14
Element x y z (fractional)
Mg (0.049, 0.377, 0.715)
Mg (0.285, 0.951, 0.623)
Mg (0.623, 0.285, 0.951)
Mg (0.377, 0.715, 0.049)
Mg (0.715, 0.049, 0.377)
Mg (0.951, 0.623, 0.285)
Tl (0.207, 0.556, 0.875)
Tl (0.125, 0.793, 0.444)
Tl (0.444, 0.125, 0.793)
Tl (0.672, 0.672, 0.672)
Tl (0.328, 0.328, 0.328)
Tl (0.556, 0.875, 0.207)
Tl (0.875, 0.207, 0.556)
Tl (0.793, 0.444, 0.125)
Cd (0.000, 0.000, 0.000)

Summary:
VASP energy   -1.94 eV/atom
DOS at the Fermi energy   5.88 states/eV/f.u.
Formation enthalpy at 0 K   20.2 meV/atom
Space-group type   R-3

=====

A relaxed Mg4TlCd4 crystal, computed with PBE.

abc: 4.392 7.161 7.161
angles: 84.60 72.14 72.14
Element x y z (fractional)
Mg (0.169, 0.162, 0.000)
Mg (0.831, 0.838, 0.000)
Mg (0.831, 0.500, 0.338)
Mg (0.169, 0.500, 0.662)
Tl (0.500, 0.500, 0.000)
Cd (0.500, 0.163, 0.336)
Cd (0.500, 0.837, 0.664)
Cd (0.164, 0.836, 0.337)
Cd (0.836, 0.164, 0.663)

Summary:
VASP energy   -1.43 eV/atom
DOS at the Fermi energy   3.23 states/eV/f.u.
Distance to the lowest polymorph of the same formula   0 meV per atom
Formation enthalpy at 0 K   -48.5 meV/atom
Space-group type   I4/mmm

=====

A relaxed MgTlCd2 crystal, computed with PBE.

abc: 4.467 3.342 7.434
angles: 61.08 90.00 90.00
Element x y z (fractional)
Tl (0.500, 0.750, 0.750)
Mg (0.500, 0.250, 0.250)
Cd (0.000, 0.985, 0.020)
Cd (0.000, 0.515, 0.480)

Summary:
VASP energy   -1.45 eV/atom
DOS at the Fermi energy   1.17 states/eV/f.u.
Distance to the lowest polymorph of the same formula   14 meV per atom
Formation enthalpy at 0 K   -5.8 meV/atom
Space-group type   P2/m

=====

A relaxed Mg4TlCd6 crystal, computed with PBE.

abc: 5.321 11.494 11.495
angles: 50.80 76.62 76.63
Element x y z (fractional)
Mg (0.527, 0.943, 0.318)
Mg (0.019, 0.780, 0.490)
Mg (0.973, 0.182, 0.557)
Mg (0.481, 0.009, 0.720)
Mg (0.025, 0.454, 0.806)
Mg (0.535, 0.279, 0.974)
Mg (0.475, 0.694, 0.046)
Mg (0.965, 0.526, 0.222)
Tl (0.985, 0.486, 0.520)
Tl (0.514, 0.981, 0.014)
Cd (0.490, 0.655, 0.348)
Cd (0.471, 0.356, 0.389)
Cd (0.250, 0.232, 0.268)
Cd (0.750, 0.065, 0.435)
Cd (0.497, 0.315, 0.684)
Cd (0.511, 0.636, 0.644)
Cd (0.989, 0.856, 0.864)
Cd (0.009, 0.152, 0.845)
Cd (0.750, 0.408, 0.092)
Cd (0.250, 0.565, 0.936)
Cd (0.003, 0.816, 0.185)
Cd (0.029, 0.111, 0.144)

Summary:
VASP energy   -1.29 eV/atom
DOS at the Fermi energy   3.68 states/eV/f.u.
Formation enthalpy at 0 K   2.6 meV/atom
Space-group type   C2

=====

A relaxed MgTlCd crystal, computed with PBE.

abc: 5.067 5.074 6.266
angles: 90.00 90.05 107.52
Element x y z (fractional)
Mg (0.772, 0.602, 0.987)
Mg (0.771, 0.602, 0.487)
Tl (0.188, 0.379, 0.237)
Tl (0.990, 0.182, 0.736)
Cd (0.359, 0.815, 0.736)
Cd (0.554, 0.011, 0.236)

Summary:
VASP energy   -1.59 eV/atom
DOS at the Fermi energy   0.84 states/eV/f.u.
Distance to the lowest polymorph of the same formula   39 meV per atom
Formation enthalpy at 0 K   30.4 meV/atom
Space-group type   P1

=====

A relaxed Mg5TlCd2 crystal, computed with PBE.

abc: 6.176 6.176 6.176
angles: 107.91 107.91 112.66
Element x y z (fractional)
Mg (0.278, 0.278, 0.500)
Mg (0.278, 0.778, 0.000)
Mg (0.778, 0.278, 0.000)
Mg (0.778, 0.778, 0.500)
Mg (0.278, 0.277, 0.000)
Tl (0.778, 0.778, 0.000)
Cd (0.278, 0.778, 0.500)
Cd (0.778, 0.278, 0.500)

Summary:
VASP energy   -1.56 eV/atom
DOS at the Fermi energy   2.92 states/eV/f.u.
Distance to the lowest polymorph of the same formula   0 meV per atom
Formation enthalpy at 0 K   -40.7 meV/atom
Space-group type   I4mm

=====

A relaxed MgTlCd2 crystal, computed with PBE.

abc: 4.968 3.333 6.114
angles: 78.75 90.00 90.00
Element x y z (fractional)
Tl (0.500, 0.752, 0.779)
Mg (0.000, 0.498, 0.456)
Cd (0.000, 0.177, 0.989)
Cd (0.500, 0.073, 0.275)

Summary:
VASP energy   -1.45 eV/atom
DOS at the Fermi energy   0.90 states/eV/f.u.
Distance to the lowest polymorph of the same formula   21 meV per atom
Formation enthalpy at 0 K   1.3 meV/atom
Space-group type   Pm

=====

A relaxed MgTlCd crystal, computed with PBE.

abc: 3.366 5.316 12.383
angles: 122.51 82.19 71.54
Element x y z (fractional)
Mg (0.725, 0.119, 0.430)
Mg (0.275, 0.881, 0.570)
Cd (0.877, 0.368, 0.879)
Cd (0.123, 0.632, 0.121)
Tl (0.186, 0.348, 0.280)
Tl (0.814, 0.652, 0.720)

Summary:
VASP energy   -1.56 eV/atom
DOS at the Fermi energy   1.13 states/eV/f.u.
Distance to the lowest polymorph of the same formula   73 meV per atom
Formation enthalpy at 0 K   64.0 meV/atom
Space-group type   C2/m

=====

A relaxed TmMgTlCd crystal, computed with PBE.

abc: 5.150 5.150 5.150
angles: 60.00 60.00 60.00
Element x y z (fractional)
Tl (0.250, 0.250, 0.250)
Tm (0.000, 0.000, 0.000)
Mg (0.500, 0.500, 0.500)
Cd (0.750, 0.750, 0.750)

Summary:
VASP energy   -2.58 eV/atom
DOS at the Fermi energy   0.55 states/eV/f.u.
Formation enthalpy at 0 K   -244.6 meV/atom
Space-group type   F-43m

=====

A relaxed TmMg2Tl2Cd2 crystal, computed with PBE.

abc: 4.869 4.991 8.345
angles: 105.06 90.00 119.20
Element x y z (fractional)
Tm (0.000, 0.000, 0.000)
Mg (0.577, 0.153, 0.712)
Mg (0.423, 0.847, 0.288)
Tl (0.717, 0.435, 0.166)
Tl (0.283, 0.565, 0.834)
Cd (0.136, 0.272, 0.422)
Cd (0.864, 0.728, 0.578)

Summary:
VASP energy   -2.16 eV/atom
DOS at the Fermi energy   2.61 states/eV/f.u.
Formation enthalpy at 0 K   -123.2 meV/atom
Space-group type   C2/m

=====

A relaxed MgTlZnCd2 crystal, computed with PBE.

abc: 5.398 5.128 5.398
angles: 90.00 90.00 90.00
Element x y z (fractional)
Mg (0.000, 0.000, 0.000)
Tl (0.500, 0.500, 0.500)
Zn (0.000, 0.500, 0.000)
Cd (0.000, 0.000, 0.500)
Cd (0.500, 0.000, 0.000)

Summary:
VASP energy   -1.06 eV/atom
DOS at the Fermi energy   3.24 states/eV/f.u.
Formation enthalpy at 0 K   351.7 meV/atom
Space-group type   P4/mmm

=====

A relaxed MgZrTlCd crystal, computed with PBE.

abc: 4.298 4.465 4.575
angles: 90.00 90.00 90.00
Element x y z (fractional)
Mg (0.000, 0.500, 0.500)
Zr (0.000, 0.000, 0.000)
Tl (0.500, 0.500, 0.000)
Cd (0.500, 0.000, 0.500)

Summary:
VASP energy   -3.48 eV/atom
DOS at the Fermi energy   2.34 states/eV/f.u.
Distance to the lowest polymorph of the same formula   0 meV per atom
Formation enthalpy at 0 K   -127.8 meV/atom
Space-group type   Pmmm

=====

Which theoretical density belongs to each record? In order, 7652 6114 7755 6156 7375 5056 7583 6918 8769 8362 5767 8176 kg/m³.